The following is a PBE-GGA calculation of crystalline GaP2O2 at its relaxed geometry, from Alexandria.

a = 4.721 Å, b = 4.721 Å, c = 3.600 Å
α = 90.00°, β = 90.00°, γ = 90.00°
Space group P4/mmm (No. 123)
One atom of each set of equivalent atoms:
Ga (0.000, 0.000, 0.000) (multiplicity 1)
P (0.000, 0.500, 0.000) (multiplicity 2)
O (0.000, 0.000, 0.500) (multiplicity 1)
O (0.500, 0.500, 0.500) (multiplicity 1)

formation energy without anion corrections	0.808	eV/atom
excess energy over the best structure of this formula in the dataset	1373	meV per atom